No. 1
An optimized crystal structure of AcLa3Mg, computed with PBE.

Lattice parameters (Å, degrees): 3.9170 9.2662 10.4509 103.40 100.81 90.00
Closest atoms and distances in Å follow each position.
Positions (direct):
Ac1 0.8152 0.0741 0.8904  9 La 3.77-3.92, 3 Ac 3.92-3.94
Ac2 0.0153 0.1506 0.2849  9 La 3.77-3.92, 3 Ac 3.92-3.94
La1 0.6213 0.9379 0.4983  2 Mg 3.45, 4 La 3.77-3.86, 2 Ac 3.81-3.82
La2 0.2092 0.2867 0.6770  2 Mg 3.45, 4 La 3.77-3.86, 2 Ac 3.81-3.82
La3 0.4187 0.3954 0.0964  4 Mg 3.41-3.48, 1 La 3.66, 2 Ac 3.77
La4 0.2266 0.7321 0.7119  2 Mg 3.42, 5 La 3.54-3.78, 2 Ac 3.81
La5 0.4118 0.8293 0.0790  4 Mg 3.41-3.48, 1 La 3.66, 2 Ac 3.77
La6 0.6040 0.4926 0.4635  2 Mg 3.42, 5 La 3.54-3.78, 2 Ac 3.81
Mg1 0.0144 0.6797 0.2851  8 La 3.41-3.48
Mg2 0.8161 0.5449 0.8903  8 La 3.41-3.48

energy above the most stable polymorph in this dataset = 0 meV per atom
space group = P-1
DFT formation energy = -0.028 eV per atom



No. 2
An optimized crystal structure of BaYAl2, computed with PBE.

Lattice parameters (Å, degrees): 6.1139 6.1139 6.1139 134.76 134.76 65.91
Closest atoms and distances in Å follow each position.
Positions (direct):
Y1 0.2500 0.7500 0.5000  8 Al 3.33-3.48, 4 Ba 3.48
Ba1 0.5000 0.5000 0.0000  8 Al 3.33-3.48, 4 Y 3.48
Al1 0.0000 0.0000 0.0000  4 Ba 3.33, 4 Al 3.48, 4 Y 3.48
Al2 0.7500 0.2500 0.5000  4 Y 3.33, 4 Ba 3.48, 4 Al 3.48

energy above the most stable polymorph in this dataset = 355 meV per atom
space group = I-4m2
DFT formation energy = 0.125 eV per atom



No. 3
An optimized crystal structure of Ac3PtRh2, computed with PBE.

Lattice parameters (Å, degrees): 7.5792 7.5792 7.5792 64.43 64.43 64.43
Closest atoms and distances in Å follow each position.
Positions (direct):
Ac1 0.4247 0.0753 0.7500  4 Rh 3.04-3.09, 2 Pt 3.11
Ac2 0.0753 0.7500 0.4247  4 Rh 3.04-3.09, 2 Pt 3.11
Ac3 0.7500 0.4247 0.0753  4 Rh 3.04-3.09, 2 Pt 3.11
Ac4 0.5753 0.9247 0.2500  4 Rh 3.04-3.09, 2 Pt 3.11
Ac5 0.9247 0.2500 0.5753  4 Rh 3.04-3.09, 2 Pt 3.11
Ac6 0.2500 0.5753 0.9247  4 Rh 3.04-3.09, 2 Pt 3.11
Pt1 0.5000 0.5000 0.5000  2 Rh 2.95, 6 Ac 3.11
Pt2 0.0000 0.0000 0.0000  2 Rh 2.95, 6 Ac 3.11
Rh1 0.3351 0.3351 0.3351  1 Pt 2.95, 6 Ac 3.04-3.09, 1 Rh 3.05
Rh2 0.1649 0.1649 0.1649  1 Pt 2.95, 6 Ac 3.04-3.09, 1 Rh 3.05
Rh3 0.8351 0.8351 0.8351  1 Pt 2.95, 6 Ac 3.04-3.09, 1 Rh 3.05
Rh4 0.6649 0.6649 0.6649  1 Pt 2.95, 6 Ac 3.04-3.09, 1 Rh 3.05

space group = R-3c
DFT formation energy = -0.858 eV per atom



No. 4
An optimized crystal structure of Mn2FeSi, computed with PBE.

Lattice parameters (Å, degrees): 7.9964 7.9964 7.9964 18.39 18.39 18.39
Closest atoms and distances in Å follow each position.
Positions (direct):
Fe1 0.7500 0.7500 0.7500  6 Mn 2.46, 6 Fe 2.56
Mn1 0.9999 0.9999 0.9999  3 Si 2.46, 3 Fe 2.46, 6 Mn 2.56
Mn2 0.5001 0.5001 0.5001  3 Si 2.46, 3 Fe 2.46, 6 Mn 2.56
Si1 0.2500 0.2500 0.2500  6 Mn 2.46, 6 Si 2.56

ΔE_f (raw) = -17 meV per atom
space group = R-3m



No. 5
An optimized crystal structure of H6PbBrN2, computed with PBE.

Lattice parameters (Å, degrees): 6.6930 6.6930 6.5357 90.28 90.28 83.56
Closest atoms and distances in Å follow each position.
Positions (direct):
H1 0.9742 0.5174 0.2497  1 N 1.03
H2 0.4826 0.0258 0.2503  1 N 1.03
H3 0.0258 0.4826 0.7503  1 N 1.03
H4 0.5174 0.9742 0.7497  1 N 1.03
H5 0.1858 0.5509 0.1240  1 N 1.03
H6 0.4491 0.8142 0.3760  1 N 1.03
H7 0.8142 0.4491 0.8760  1 N 1.03
H8 0.5509 0.1858 0.6240  1 N 1.03
H9 0.1850 0.5530 0.3782  1 N 1.03
H10 0.4470 0.8150 0.1218  1 N 1.03
H11 0.8150 0.4470 0.6218  1 N 1.03
H12 0.5530 0.1850 0.8782  1 N 1.03
Pb1 0.0228 0.9772 0.2500  2 N 2.57
Pb2 0.9772 0.0228 0.7500  2 N 2.57
Br1 0.6500 0.3500 0.2500  6 H 2.55-2.80
Br2 0.3500 0.6500 0.7500  6 H 2.55-2.80
N1 0.5927 0.1001 0.7503  3 H 1.03
N2 0.8999 0.4073 0.7497  3 H 1.03
N3 0.4073 0.8999 0.2497  3 H 1.03
N4 0.1001 0.5927 0.2503  3 H 1.03

total energy = -4.621 eV/atom
space group = C2/c



No. 6
An optimized crystal structure of HfTi6Ga2, computed with PBE.

Lattice parameters (Å, degrees): 4.6784 7.3058 7.3058 43.17 71.33 71.33
Closest atoms and distances in Å follow each position.
Positions (direct):
Hf1 0.0000 0.0000 0.0000  4 Ti 2.71, 4 Ga 3.02
Ti1 0.6986 0.0524 0.5504  5 Ti 2.53-2.70, 1 Ga 2.82
Ti2 0.3014 0.9476 0.4496  5 Ti 2.53-2.70, 1 Ga 2.82
Ti3 0.3014 0.4496 0.9476  5 Ti 2.53-2.70, 1 Ga 2.82
Ti4 0.5000 0.7454 0.2546  4 Ti 2.53-2.74, 2 Hf 2.71
Ti5 0.5000 0.2546 0.7454  4 Ti 2.53-2.74, 2 Hf 2.71
Ti6 0.6986 0.5504 0.0524  5 Ti 2.53-2.70, 1 Ga 2.82
Ga1 0.8923 0.6077 0.6077  1 Ga 2.75, 10 Ti 2.82-3.02, 2 Hf 3.02
Ga2 0.1077 0.3923 0.3923  1 Ga 2.75, 10 Ti 2.82-3.02, 2 Hf 3.02

space group = Immm
DFT formation energy = 0.179 eV per atom



Number 1: DOS(E_F) 13.421 states/eV per cell. Number 2: DOS(E_F) 3.957 states/eV per cell. Number 3: DOS(E_F) 4.250 states/eV per cell. Number 4: DOS(E_F) 4.510 states/eV per cell. Number 5: DOS(E_F) 2.518 states/eV per cell. Number 6: DOS(E_F) 11.301 states/eV per cell.